Rb2Ag2PtS4, optimized geometry, DFT GGA-PBE; VASP energy = -3.748 eV per atom; total magnetic moment = 0.1 Bohr magnetons per cell
1.0
3.787 -11.361 0.000
3.787 11.361 0.000
-2.239 0.000 5.360
Rb Ag Pt S
4 4 2 8
Direct
0.066 0.934 0.750
0.186 0.814 0.250
0.814 0.186 0.750
0.934 0.066 0.250
0.291 0.709 0.750
0.468 0.532 0.750
0.532 0.468 0.250
0.709 0.291 0.250
0.370 0.630 0.250
0.630 0.370 0.750
0.090 0.473 0.328
0.231 0.356 0.969
0.356 0.231 0.469
0.473 0.090 0.828
0.527 0.910 0.172
0.644 0.769 0.531
0.769 0.644 0.031
0.910 0.527 0.672

=====

RbAgPtS3, optimized geometry, DFT GGA-PBE; total magnetic moment = 0.0 Bohr magnetons per cell; excess energy over the best structure of this formula in the dataset = 0 meV per atom
1.0
13.375 0.000 0.000
0.000 3.802 0.000
0.000 0.000 11.044
Rb Ag Pt S
4 4 4 12
Direct
0.144 0.250 0.043
0.356 0.750 0.543
0.644 0.250 0.457
0.856 0.750 0.957
0.234 0.750 0.282
0.266 0.250 0.782
0.734 0.750 0.218
0.766 0.250 0.718
0.023 0.750 0.636
0.477 0.250 0.136
0.523 0.750 0.864
0.977 0.250 0.364
0.055 0.750 0.263
0.096 0.250 0.527
0.146 0.750 0.795
0.354 0.250 0.295
0.404 0.750 0.027
0.445 0.250 0.763
0.555 0.750 0.237
0.596 0.250 0.973
0.646 0.750 0.705
0.854 0.250 0.205
0.904 0.750 0.473
0.945 0.250 0.737

=====

RbAgTePtS2, optimized geometry, DFT GGA-PBE; VASP energy = -3.884 eV per atom; total magnetic moment = 0.0 Bohr magnetons per cell
1.0
1.825 -8.269 0.000
1.825 8.269 0.000
0.000 0.000 10.936
Rb Ag Te Pt S
2 2 2 2 4
Direct
0.245 0.755 0.750
0.755 0.245 0.250
0.081 0.919 0.250
0.919 0.081 0.750
0.442 0.558 0.250
0.558 0.442 0.750
0.500 0.500 0.000
0.500 0.500 0.500
0.095 0.905 0.027
0.095 0.905 0.473
0.905 0.095 0.527
0.905 0.095 0.973

=====

RbAgPtSe3, optimized geometry, DFT GGA-PBE; total magnetic moment = 0.0 Bohr magnetons per cell; excess energy over the best structure of this formula in the dataset = 0 meV per atom
1.0
14.201 0.000 0.000
0.000 3.998 0.000
0.000 0.000 10.994
Rb Ag Pt Se
4 4 4 12
Direct
0.146 0.250 0.024
0.354 0.750 0.524
0.646 0.250 0.476
0.854 0.750 0.976
0.202 0.750 0.273
0.298 0.250 0.773
0.702 0.750 0.227
0.798 0.250 0.727
0.041 0.750 0.637
0.459 0.250 0.137
0.541 0.750 0.863
0.959 0.250 0.363
0.024 0.750 0.242
0.098 0.250 0.508
0.182 0.750 0.778
0.318 0.250 0.278
0.402 0.750 0.008
0.476 0.250 0.742
0.524 0.750 0.258
0.598 0.250 0.992
0.682 0.750 0.722
0.818 0.250 0.222
0.902 0.750 0.492
0.976 0.250 0.758

=====

RbAgPtSe3, optimized geometry, DFT GGA-PBE; total magnetic moment = 0.0 Bohr magnetons per cell; excess energy over the best structure of this formula in the dataset = 10 meV per atom
1.0
8.392 0.000 0.000
0.000 3.996 0.000
-3.400 0.000 9.572
Rb Ag Pt Se
2 2 2 6
Direct
0.247 0.250 0.199
0.753 0.750 0.801
0.442 0.250 0.902
0.558 0.750 0.098
0.158 0.750 0.640
0.842 0.250 0.360
0.039 0.750 0.379
0.223 0.750 0.908
0.349 0.250 0.627
0.651 0.750 0.373
0.777 0.250 0.092
0.961 0.250 0.621

=====

RbAgPtSe3, optimized geometry, DFT GGA-PBE; total magnetic moment = 0.0 Bohr magnetons per cell; excess energy over the best structure of this formula in the dataset = 101 meV per atom
1.0
1.947 -7.649 0.000
1.947 7.649 0.000
0.000 0.000 10.638
Rb Ag Pt Se
2 2 2 6
Direct
0.246 0.754 0.750
0.754 0.246 0.250
0.064 0.936 0.250
0.936 0.064 0.750
0.500 0.500 0.000
0.500 0.500 0.500
0.108 0.892 0.017
0.108 0.892 0.483
0.446 0.554 0.250
0.554 0.446 0.750
0.892 0.108 0.517
0.892 0.108 0.983

=====

RbAgTePtSe2, optimized geometry, DFT GGA-PBE; VASP energy = -3.699 eV per atom; total magnetic moment = 0.0 Bohr magnetons per cell
1.0
1.935 -8.091 0.000
1.935 8.091 0.000
0.000 0.000 11.018
Rb Ag Te Pt Se
2 2 2 2 4
Direct
0.249 0.751 0.750
0.751 0.249 0.250
0.073 0.927 0.250
0.927 0.073 0.750
0.444 0.556 0.250
0.556 0.444 0.750
0.500 0.500 0.000
0.500 0.500 0.500
0.103 0.897 0.019
0.103 0.897 0.481
0.897 0.103 0.519
0.897 0.103 0.981

=====

RbAgTe2PtSe, optimized geometry, DFT GGA-PBE; VASP energy = -3.610 eV per atom; total magnetic moment = 0.0 Bohr magnetons per cell
1.0
2.052 -7.854 0.000
2.052 7.854 0.000
0.000 0.000 10.985
Rb Ag Te Pt Se
2 2 4 2 2
Direct
0.247 0.753 0.750
0.753 0.247 0.250
0.448 0.552 0.250
0.552 0.448 0.750
0.387 0.613 0.016
0.387 0.613 0.484
0.613 0.387 0.516
0.613 0.387 0.984
0.000 0.000 0.000
0.000 0.000 0.500
0.055 0.945 0.250
0.945 0.055 0.750